Compound: CsCrAu3
Source: Alexandria via LeMat-Bulk
Functional: PBE
Structure: optimized geometry

The structure in CIF format:
```
data_CsCrAu3
_chemical_formula_sum 'Cs1 Cr1 Au3'
_symmetry_space_group_name_H-M 'P 1'
_symmetry_Int_Tables_number 1
_cell_length_a 5.2564
_cell_length_b 5.2564
_cell_length_c 5.2564
_cell_angle_alpha 90.00
_cell_angle_beta 90.00
_cell_angle_gamma 90.00
loop_
_symmetry_equiv_pos_as_xyz
'x,y,z'
loop_
_atom_site_label
_atom_site_fract_x
_atom_site_fract_y
_atom_site_fract_z
Cs1 0.0000 0.0000 0.0000
Cr1 0.5000 0.5000 0.5000
Au1 0.0000 0.5000 0.5000
Au2 0.5000 0.0000 0.5000
Au3 0.5000 0.5000 0.0000
```

## Properties
Calculated formation energy   1.2 eV/f.u.

=====

Compound: CsCrAu3
Source: Alexandria via LeMat-Bulk
Functional: PBE
Structure: optimized geometry

The structure in CIF format:
```
data_CsCrAu3
_chemical_formula_sum 'Cs1 Cr1 Au3'
_symmetry_space_group_name_H-M 'P 1'
_symmetry_Int_Tables_number 1
_cell_length_a 6.0368
_cell_length_b 6.0368
_cell_length_c 6.0368
_cell_angle_alpha 90.00
_cell_angle_beta 90.00
_cell_angle_gamma 90.00
loop_
_symmetry_equiv_pos_as_xyz
'x,y,z'
loop_
_atom_site_label
_atom_site_fract_x
_atom_site_fract_y
_atom_site_fract_z
Cs1 0.0000 0.0000 0.0000
Cr1 0.5000 0.5000 0.5000
Au1 0.0000 0.0000 0.5000
Au2 0.0000 0.5000 0.0000
Au3 0.5000 0.0000 0.0000
```

## Properties
Calculated formation energy   7.9 eV/f.u.

=====

Compound: CsCr2Au
Source: Alexandria via LeMat-Bulk
Functional: PBE
Structure: optimized geometry

The structure in CIF format:
```
data_CsCr2Au
_chemical_formula_sum 'Cs4 Cr8 Au4'
_symmetry_space_group_name_H-M 'P 1'
_symmetry_Int_Tables_number 1
_cell_length_a 6.5883
_cell_length_b 6.5883
_cell_length_c 6.5883
_cell_angle_alpha 90.00
_cell_angle_beta 90.00
_cell_angle_gamma 90.00
loop_
_symmetry_equiv_pos_as_xyz
'x,y,z'
loop_
_atom_site_label
_atom_site_fract_x
_atom_site_fract_y
_atom_site_fract_z
Cs1 0.0000 0.0000 0.0000
Cs2 0.0000 0.5000 0.5000
Cs3 0.5000 0.0000 0.5000
Cs4 0.5000 0.5000 0.0000
Cr1 0.2500 0.2500 0.2500
Cr2 0.2500 0.2500 0.7500
Cr3 0.2500 0.7500 0.2500
Cr4 0.2500 0.7500 0.7500
Cr5 0.7500 0.2500 0.2500
Cr6 0.7500 0.2500 0.7500
Cr7 0.7500 0.7500 0.2500
Cr8 0.7500 0.7500 0.7500
Au1 0.0000 0.0000 0.5000
Au2 0.0000 0.5000 0.0000
Au3 0.5000 0.0000 0.0000
Au4 0.5000 0.5000 0.5000
```

## Properties
Calculated formation energy   7.4 eV/f.u.

=====

Compound: Cs3CrAu
Source: Alexandria via LeMat-Bulk
Functional: PBE
Structure: optimized geometry

The structure in CIF format:
```
data_Cs3CrAu
_chemical_formula_sum 'Cs3 Cr1 Au1'
_symmetry_space_group_name_H-M 'P 1'
_symmetry_Int_Tables_number 1
_cell_length_a 6.9217
_cell_length_b 6.9217
_cell_length_c 6.9217
_cell_angle_alpha 90.00
_cell_angle_beta 90.00
_cell_angle_gamma 90.00
loop_
_symmetry_equiv_pos_as_xyz
'x,y,z'
loop_
_atom_site_label
_atom_site_fract_x
_atom_site_fract_y
_atom_site_fract_z
Cs1 0.0000 0.0000 0.5000
Cs2 0.0000 0.5000 0.0000
Cs3 0.5000 0.0000 0.0000
Cr1 0.5000 0.5000 0.5000
Au1 0.0000 0.0000 0.0000
```

## Properties
Calculated formation energy   2.2 eV/f.u.